Record 1
MnNb2Cl8 | GGA-PBE | relaxed

Summary:
Uncorrected formation energy   -0.93 eV/atom
Total DFT energy (no corrections)   -4.9335 eV per atom

abc: 5.135 8.324 8.324
angles: 80.15 90.42 90.42
Sites, in units of the cell vectors:
1 Cl 0.251 0.383 0.383
2 Cl 0.246 0.269 0.913
3 Cl 0.759 0.184 0.184
4 Cl 0.246 0.913 0.269
5 Cl 0.749 0.617 0.617
6 Cl 0.754 0.087 0.731
7 Cl 0.241 0.816 0.816
8 Cl 0.754 0.731 0.087
9 Nb 0.269 0.202 0.202
10 Nb 0.731 0.798 0.798
11 Mn 0.000 0.000 0.000


Record 2
Mn2Nb2Cl7 | GGA-PBE | relaxed

Summary:
Uncorrected formation energy   -0.82 eV/atom
Total DFT energy (no corrections)   -5.4955 eV per atom

abc: 6.777 6.777 13.029
angles: 111.17 111.17 95.88
Sites, in units of the cell vectors:
1 Nb 0.426 0.767 0.466
2 Nb 0.767 0.426 0.966
3 Nb 0.233 0.574 0.034
4 Nb 0.574 0.233 0.534
5 Cl 0.044 0.542 0.371
6 Cl 0.068 0.294 0.081
7 Cl 0.542 0.044 0.871
8 Cl 0.979 0.021 0.750
9 Cl 0.406 0.532 0.878
10 Cl 0.294 0.068 0.581
11 Cl 0.458 0.956 0.129
12 Cl 0.594 0.468 0.122
13 Cl 0.932 0.706 0.919
14 Cl 0.706 0.932 0.419
15 Cl 0.468 0.594 0.622
16 Cl 0.956 0.458 0.629
17 Cl 0.532 0.406 0.378
18 Cl 0.021 0.979 0.250
19 Mn 0.972 0.379 0.793
20 Mn 0.379 0.972 0.293
21 Mn 0.621 0.028 0.707
22 Mn 0.028 0.621 0.207


Record 3
MnNb2Cl | GGA-PBE | relaxed

Summary:
ΔE to the lowest computed polymorph   0 meV/atom
Uncorrected formation energy   0.50 eV/atom
Total DFT energy (no corrections)   -7.2874 eV per atom

abc: 4.480 4.480 4.480
angles: 60.00 60.00 60.00
Sites, in units of the cell vectors:
1 Nb 0.250 0.250 0.250
2 Nb 0.750 0.750 0.750
3 Cl 0.000 0.000 0.000
4 Mn 0.500 0.500 0.500


Record 4
Rb2MnNbCl | GGA-PBE | relaxed

Summary:
Uncorrected formation energy   0.73 eV/atom
Total DFT energy (no corrections)   -3.8722 eV per atom

abc: 6.852 4.234 6.852
angles: 90.00 90.00 90.00
Sites, in units of the cell vectors:
1 Cl 0.500 0.500 0.500
2 Mn 0.000 0.500 0.000
3 Rb 0.000 0.000 0.500
4 Rb 0.500 0.000 0.000
5 Nb 0.000 0.000 0.000


Record 5
RbMn2NbCl8 | GGA-PBE | relaxed

Summary:
Uncorrected formation energy   -1.14 eV/atom
Total DFT energy (no corrections)   -4.8220 eV per atom

abc: 6.294 6.294 11.277
angles: 73.79 73.79 60.00
Sites, in units of the cell vectors:
1 Cl 0.850 0.570 0.346
2 Cl 0.430 0.150 0.654
3 Cl 0.570 0.234 0.346
4 Cl 0.688 0.688 0.935
5 Cl 0.766 0.430 0.654
6 Cl 0.150 0.766 0.654
7 Cl 0.312 0.312 0.065
8 Cl 0.234 0.850 0.346
9 Rb 0.000 0.000 0.000
10 Mn 0.760 0.760 0.721
11 Mn 0.240 0.240 0.279
12 Nb 0.500 0.500 0.500


Record 6
MnNb2ReCl | GGA-PBE | relaxed

Summary:
Uncorrected formation energy   1.28 eV/atom
Total DFT energy (no corrections)   -7.4400 eV per atom

abc: 4.487 4.310 4.487
angles: 90.00 90.00 90.00
Sites, in units of the cell vectors:
1 Mn 0.500 0.500 0.500
2 Re 0.000 0.500 0.000
3 Nb 0.500 0.000 0.000
4 Nb 0.000 0.000 0.500
5 Cl 0.000 0.000 0.000